Entry from Alexandria: a geometry-optimized ZrAlC3 structure (PBEsol).

a = 4.2559 Å, b = 4.2559 Å, c = 4.2559 Å
α = 90.00°, β = 90.00°, γ = 90.00°
With the nearest neighbours (Å) after each atom.
Element x y z (fractional)
C 0.0000 0.5000 0.0000  2 Zr 2.13
C 0.0000 0.0000 0.5000  2 Zr 2.13
C 0.5000 0.0000 0.0000  2 Zr 2.13
Al 0.5000 0.5000 0.5000  12 C 3.01
Zr 0.0000 0.0000 0.0000  6 C 2.13

Output
Spin magnetization   0.0 μB per formula unit
Uncorrected energy   -0.4631 Ry/atom
Symmetry   Pm-3m, No. 221



Entry from Alexandria: a geometry-optimized CrIn2Sb structure (PBEsol).

a = 4.4463 Å, b = 4.4463 Å, c = 5.4570 Å
α = 114.04°, β = 114.04°, γ = 90.00°
With the nearest neighbours (Å) after each atom.
Element x y z (fractional)
Cr 0.2500 0.7500 0.5000  8 In 3.14-3.15, 4 Sb 3.15
In 0.0000 0.0000 0.0000  4 Sb 3.14, 4 Cr 3.15, 4 In 3.15
In 0.7500 0.2500 0.5000  4 Cr 3.14, 4 In 3.15, 4 Sb 3.15
Sb 0.5000 0.5000 0.0000  8 In 3.14-3.15, 4 Cr 3.15

Output
Spin magnetization   3.8 μB per formula unit
Uncorrected energy   -0.3566 Ry/atom
Symmetry   I-4m2, No. 119



Entry from Alexandria: a geometry-optimized IrI2NCl structure (PBEsol).

a = 3.6602 Å, b = 5.5631 Å, c = 5.5631 Å
α = 90.00°, β = 90.00°, γ = 90.00°
With the nearest neighbours (Å) after each atom.
Element x y z (fractional)
I 0.0000 0.0000 0.5000  2 Ir 2.78
I 0.0000 0.5000 0.0000  2 Ir 2.78
N 0.5000 0.0000 0.0000  2 Ir 1.83
Ir 0.0000 0.0000 0.0000  2 N 1.83
Cl 0.5000 0.5000 0.5000  8 I 3.33, 2 Cl 3.66

Output
Spin magnetization   0.0 μB per formula unit
Uncorrected energy   -0.3223 Ry/atom
Symmetry   P4/mmm, No. 123



Entry from Alexandria: a geometry-optimized ZrTcSb2 structure (PBEsol).

a = 3.2623 Å, b = 3.2623 Å, c = 7.1816 Å
α = 90.00°, β = 90.00°, γ = 90.07°
With the nearest neighbours (Å) after each atom.
Element x y z (fractional)
Sb 0.0000 0.0000 0.2772  4 Tc 2.81, 4 Zr 3.05
Sb 0.0000 0.0000 0.7228  4 Tc 2.81, 4 Zr 3.05
Tc 0.5000 0.5000 0.5000  8 Sb 2.81
Zr 0.5000 0.5000 0.0000  8 Sb 3.05, 4 Zr 3.26

Output
ΔE to the lowest computed polymorph   0.000 eV/atom
Spin magnetization   0.0 μB per formula unit
Uncorrected energy   -0.5570 Ry/atom
Symmetry   P4/mmm, No. 123



Entry from Alexandria: a geometry-optimized SrCaMg2 structure (PBEsol).

a = 3.7391 Å, b = 5.9593 Å, c = 6.5967 Å
α = 109.79°, β = 106.46°, γ = 90.00°
With the nearest neighbours (Å) after each atom.
Element x y z (fractional)
Sr 0.5199 0.5458 0.0398  7 Mg 3.54-3.65, 2 Sr 3.74, 2 Ca 3.85-3.87
Ca 0.7273 0.1987 0.4547  7 Mg 3.51-3.68, 2 Ca 3.74, 2 Sr 3.85-3.87
Mg 0.9765 0.0168 0.9530  2 Mg 3.11
Mg 0.2763 0.7387 0.5525  2 Mg 3.11

Output
Spin magnetization   0.0 μB per formula unit
Uncorrected energy   -0.1387 Ry/atom
Symmetry   Cm, No. 8



Entry from Alexandria: a geometry-optimized Ba8Al structure (PBEsol).

a = 4.5199 Å, b = 10.3973 Å, c = 10.3973 Å
α = 87.29°, β = 77.45°, γ = 77.45°
With the nearest neighbours (Å) after each atom.
Element x y z (fractional)
Ba 0.3599 0.0000 0.2801  2 Al 3.63, 2 Ba 4.02
Ba 0.6401 0.0000 0.7199  2 Al 3.63, 2 Ba 4.02
Ba 0.6660 0.3340 0.3340  10 Ba 4.06-4.52
Ba 0.3599 0.2801 0.0000  2 Al 3.63, 2 Ba 4.02
Ba 0.0000 0.3340 0.6660  10 Ba 4.06-4.52
Ba 0.6401 0.7199 0.0000  2 Al 3.63, 2 Ba 4.02
Ba 0.3340 0.6660 0.6660  10 Ba 4.06-4.52
Ba 0.0000 0.6660 0.3340  10 Ba 4.06-4.52
Al 0.0000 0.0000 0.0000  8 Ba 3.63

Output
Spin magnetization   0.0 μB per formula unit
Uncorrected energy   -0.1719 Ry/atom
Symmetry   I4/mmm, No. 139



Entry from Alexandria: a geometry-optimized Ba8Re2W3O24 structure (PBEsol).

a = 5.7256 Å, b = 5.7256 Å, c = 19.1830 Å
α = 81.42°, β = 81.42°, γ = 60.00°
With the nearest neighbours (Å) after each atom.
Element x y z (fractional)
Ba 0.2711 0.2711 0.1868  12 O 2.69-2.88
Ba 0.1854 0.1854 0.4437  9 O 2.75-2.86
Ba 0.1138 0.1138 0.6585  3 O 2.57
Ba 0.8862 0.8862 0.3415  3 O 2.57
Ba 0.7289 0.7289 0.8132  12 O 2.69-2.88
Ba 0.6494 0.6494 0.0518  12 O 2.84-2.91
Ba 0.3506 0.3506 0.9482  12 O 2.84-2.91
Ba 0.8146 0.8146 0.5563  9 O 2.75-2.86
Re 0.0393 0.0393 0.8822  6 O 1.83-1.99
Re 0.9607 0.9607 0.1178  6 O 1.83-1.99
W 0.5825 0.5825 0.2525  3 O 1.79
W 0.4175 0.4175 0.7475  3 O 1.79
W 0.5000 0.5000 0.5000  6 O 1.93
O 0.6652 0.1343 0.0661  1 Re 1.83
O 0.3205 0.8013 0.5576  1 W 1.93
O 0.7760 0.2700 0.1781  1 Re 1.99, 1 W 2.19
O 0.1987 0.6795 0.4424  1 W 1.93
O 0.8883 0.4078 0.2961  1 W 1.79
O 0.7300 0.2240 0.8219  1 Re 1.99, 1 W 2.19
O 0.8013 0.3205 0.5576  1 W 1.93
O 0.4078 0.8883 0.2961  1 W 1.79
O 0.5922 0.1117 0.7039  1 W 1.79
O 0.6795 0.6795 0.4424  1 W 1.93
O 0.5922 0.5922 0.7039  1 W 1.79
O 0.4078 0.4078 0.2961  1 W 1.79
O 0.6795 0.1987 0.4424  1 W 1.93
O 0.7760 0.7760 0.1781  1 Re 1.99, 1 W 2.19
O 0.3348 0.8657 0.9339  1 Re 1.83
O 0.3205 0.3205 0.5576  1 W 1.93
O 0.1343 0.1343 0.0661  1 Re 1.83
O 0.2240 0.7300 0.8219  1 Re 1.99, 1 W 2.19
O 0.1117 0.5922 0.7039  1 W 1.79
O 0.2700 0.7760 0.1781  1 Re 1.99, 1 W 2.19
O 0.1343 0.6652 0.0661  1 Re 1.83
O 0.8657 0.8657 0.9339  1 Re 1.83
O 0.8657 0.3348 0.9339  1 Re 1.83
O 0.2240 0.2240 0.8219  1 Re 1.99, 1 W 2.19

Output
Spin magnetization   0.1 μB per formula unit
Uncorrected energy   -0.5997 Ry/atom
Symmetry   R-3m, No. 166



Entry from Alexandria: a geometry-optimized AgSn2BrN structure (PBEsol).

a = 4.1153 Å, b = 5.1068 Å, c = 5.1068 Å
α = 90.00°, β = 90.00°, γ = 90.00°
With the nearest neighbours (Å) after each atom.
Element x y z (fractional)
Br 0.5000 0.5000 0.5000  8 Sn 3.28, 4 Ag 3.61
Sn 0.0000 0.0000 0.5000  2 N 2.55
Sn 0.0000 0.5000 0.0000  2 N 2.55
Ag 0.5000 0.0000 0.0000  2 N 2.06
N 0.0000 0.0000 0.0000  2 Ag 2.06

Output
Spin magnetization   0.0 μB per formula unit
Uncorrected energy   -0.3024 Ry/atom
Symmetry   P4/mmm, No. 123



Question: What is the spin magnetization in the fourth record?
Answer: 0.0 μB per formula unit